[1]
DFT (PBE) results for a relaxed structure of YZnSe.

Results
E above lowest polymorph	0.1276	eV per atom
magnetization	0.47	Bohr magnetons per cell
formation energy without anion corrections	-0.737	eV per atom

Cell lengths 5.9329, 5.9346, 3.6255 Å; angles 72.19, 72.24, 35.58 degrees
Closest atoms and distances in Å follow each position.
Element x y z (fractional)
Se  0.9805  0.9805  0.0195  4 Y 2.92, 4 Zn 3.27
Y  0.3495  0.3495  0.6505  4 Se 2.92, 4 Zn 3.20-3.21
Zn  0.6700  0.6700  0.3300  5 Y 3.20-3.43, 5 Se 3.27-3.32

=====

[2]
DFT (PBE) results for a relaxed structure of Pr4Pu2Bi3N2.

Results
magnetization	10.93	Bohr magnetons per cell
formation energy without anion corrections	-0.847	eV per atom

Cell lengths 4.9180, 4.9180, 13.5862 Å; angles 100.43, 100.43, 90.00 degrees
Closest atoms and distances in Å follow each position.
Element x y z (fractional)
Pr  0.4138  0.9138  0.8277  2 N 2.53
Pr  0.9138  0.4138  0.8277  2 N 2.53
Pr  0.0862  0.5862  0.1723  2 N 2.53
Pr  0.5862  0.0862  0.1723  2 N 2.53
Pu  0.3088  0.3088  0.6175  1 N 2.17
Pu  0.6912  0.6912  0.3825  1 N 2.17
Bi  0.0000  0.0000  0.0000  8 Pr 3.34
Bi  0.1815  0.1815  0.3631  5 Pu 3.34-3.49, 4 Pr 3.51
Bi  0.8185  0.8185  0.6369  5 Pu 3.34-3.49, 4 Pr 3.51
N  0.3912  0.3912  0.7824  1 Pu 2.17
N  0.6088  0.6088  0.2176  1 Pu 2.17

=====

[3]
DFT (PBE) results for a relaxed structure of ScGa2Co2.

Results
E above lowest polymorph	0.0081	eV per atom
energy of formation	-165.6	kJ/mol of formula units
magnetization	0.00	Bohr magnetons per cell

Cell lengths 7.0471, 7.0471, 2.8019 Å; angles 90.00, 90.00, 90.00 degrees
Closest atoms and distances in Å follow each position.
Element x y z (fractional)
Sc  0.0000  0.0000  0.0000  4 Co 2.73, 2 Sc 2.80, 8 Ga 3.01
Sc  0.5000  0.5000  0.0000  4 Co 2.73, 2 Sc 2.80, 8 Ga 3.01
Co  0.3609  0.8609  0.0000  6 Ga 2.48-2.51, 2 Sc 2.73, 1 Co 2.77
Co  0.8609  0.6391  0.0000  6 Ga 2.48-2.51, 2 Sc 2.73, 1 Co 2.77
Co  0.6391  0.1391  0.0000  6 Ga 2.48-2.51, 2 Sc 2.73, 1 Co 2.77
Co  0.1391  0.3609  0.0000  6 Ga 2.48-2.51, 2 Sc 2.73, 1 Co 2.77
Ga  0.1558  0.6558  0.5000  6 Co 2.48-2.51
Ga  0.6558  0.8442  0.5000  6 Co 2.48-2.51
Ga  0.8442  0.3442  0.5000  6 Co 2.48-2.51
Ga  0.3442  0.1558  0.5000  6 Co 2.48-2.51

=====

[4]
DFT (PBE) results for a relaxed structure of K2PaTc3O12.

Results
magnetization	2.63	Bohr magnetons per cell
formation energy without anion corrections	-1.860	eV per atom

Cell lengths 7.5803, 7.5803, 7.5803 Å; angles 57.83, 57.83, 57.83 degrees
Closest atoms and distances in Å follow each position.
Element x y z (fractional)
K  0.6484  0.6484  0.6484  3 O 2.88
K  0.3516  0.3516  0.3516  3 O 2.88
Pa  0.0000  0.0000  0.0000  6 O 2.18
Tc  0.5000  0.0000  0.0000  6 O 1.91-1.96
Tc  0.0000  0.5000  0.0000  6 O 1.91-1.96
Tc  0.0000  0.0000  0.5000  6 O 1.91-1.96
O  0.2997  0.2997  0.9322  2 Tc 1.91
O  0.9215  0.9215  0.3492  1 Tc 1.96, 1 Pa 2.18
O  0.3492  0.9215  0.9215  1 Tc 1.96, 1 Pa 2.18
O  0.9322  0.2997  0.2997  2 Tc 1.91
O  0.9215  0.3492  0.9215  1 Tc 1.96, 1 Pa 2.18
O  0.2997  0.9322  0.2997  2 Tc 1.91
O  0.7003  0.7003  0.0678  2 Tc 1.91
O  0.0785  0.0785  0.6508  1 Tc 1.96, 1 Pa 2.18
O  0.6508  0.0785  0.0785  1 Tc 1.96, 1 Pa 2.18
O  0.0678  0.7003  0.7003  2 Tc 1.91
O  0.0785  0.6508  0.0785  1 Tc 1.96, 1 Pa 2.18
O  0.7003  0.0678  0.7003  2 Tc 1.91

=====

Question: Which value of magnetization does entry 4 give?
Answer: 2.63 Bohr magnetons per cell

=====

Question: Among the records above, which one has the highest magnetization?
Answer: Pr4Pu2Bi3N2

=====

Question: What is the formula in the fourth record?
Answer: K2PaTc3O12